# KTl2Sb PBE-GGA optimized geometry
data_KTl2Sb
_space_group_name_H-M_alt 'P n m a'
_space_group_IT_number 62
_cell_length_a 18.278
_cell_length_b 9.134
_cell_length_c 6.848
_cell_angle_alpha 90.00
_cell_angle_beta 90.00
_cell_angle_gamma 90.00
loop_
_space_group_symop_operation_xyz
'x,y,z'
'-x,-y,-z'
'-x+1/2,-y,z+1/2'
'x+1/2,y,-z+1/2'
'x+1/2,-y+1/2,-z+1/2'
'-x+1/2,y+1/2,z+1/2'
'-x,y+1/2,-z'
'x,-y+1/2,z'
loop_
_atom_site_label
_atom_site_type_symbol
_atom_site_fract_x
_atom_site_fract_y
_atom_site_fract_z
K1 K 0.104 0.250 0.243
K2 K 0.143 0.750 0.038
Tl1 Tl 0.030 0.050 0.762
Tl2 Tl 0.224 0.567 0.583
Sb1 Sb 0.076 0.750 0.522
Sb2 Sb 0.170 0.250 0.730
# Density of states at the Fermi level: 6.954 states/eV per cell
# E_form (uncorrected): -197 meV per atom

---

# ThMg2TlPb PBE-GGA optimized geometry
data_ThMg2TlPb
_space_group_name_H-M_alt 'I 4 m m'
_space_group_IT_number 107
_space_group_name_Hall 'I 4 -2'
_cell_length_a 4.480
_cell_length_b 4.480
_cell_length_c 13.317
_cell_angle_alpha 90.00
_cell_angle_beta 90.00
_cell_angle_gamma 90.00
loop_
_atom_site_label
_atom_site_type_symbol
_atom_site_fract_x
_atom_site_fract_y
_atom_site_fract_z
Th1 Th 0.000 0.000 0.000
Mg1 Mg 0.000 0.500 0.245
Tl1 Tl 0.000 0.000 0.611
Pb1 Pb 0.000 0.000 0.390
# Density of states at the Fermi level: 4.867 states/eV per cell
# Energy of formation: -78 meV/atom

---

# AcPaTiS6 PBE-GGA optimized geometry
data_AcPaTiS6
_space_group_name_H-M_alt 'P 3 1 2'
_space_group_IT_number 149
_cell_length_a 6.7051
_cell_length_b 6.7051
_cell_length_c 5.9046
_cell_angle_alpha 90.00
_cell_angle_beta 90.00
_cell_angle_gamma 120.00
loop_
_space_group_symop_operation_xyz
'x,y,z'
'-y,x-y,z'
'-x+y,-x,z'
'-y,-x,-z'
'-x+y,y,-z'
'x,x-y,-z'
loop_
_atom_site_label
_atom_site_type_symbol
_atom_site_fract_x
_atom_site_fract_y
_atom_site_fract_z
Ac1 Ac 0.0000 0.0000 0.0000
Pa1 Pa 0.6667 0.3333 0.5000
Ti1 Ti 0.3333 0.6667 0.0000
S1 S 0.0199 0.3911 0.2467
# E_form (uncorrected): -1448 meV per atom

---

# Pa5Re2N12 PBE-GGA optimized geometry
data_Pa5Re2N12
_space_group_name_H-M_alt 'C 1 2/m 1'
_space_group_IT_number 12
_cell_length_a 12.344
_cell_length_b 5.846
_cell_length_c 7.559
_cell_angle_alpha 90.00
_cell_angle_beta 107.66
_cell_angle_gamma 90.00
loop_
_space_group_symop_operation_xyz
'x,y,z'
'-x,-y,-z'
'-x,y,-z'
'x,-y,z'
'x+1/2,y+1/2,z'
'-x+1/2,-y+1/2,-z'
'-x+1/2,y+1/2,-z'
'x+1/2,-y+1/2,z'
loop_
_atom_site_label
_atom_site_type_symbol
_atom_site_fract_x
_atom_site_fract_y
_atom_site_fract_z
Pa1 Pa 0.000 0.000 0.000
Pa2 Pa 0.184 0.500 0.337
Pa3 Pa 0.186 0.500 0.849
Re1 Re 0.000 0.216 0.500
N1 N 0.001 0.500 0.316
N2 N 0.002 0.000 0.301
N3 N 0.155 0.248 0.075
N4 N 0.168 0.267 0.586
# Density of states at the Fermi level: 7.597 states/eV per cell
# E_form (uncorrected): -1217 meV per atom

---

# K4Sm3MnS8 PBE-GGA optimized geometry
data_K4Sm3MnS8
_space_group_name_H-M_alt 'C 1 2/m 1'
_space_group_IT_number 12
_cell_length_a 14.237
_cell_length_b 8.005
_cell_length_c 8.721
_cell_angle_alpha 90.00
_cell_angle_beta 122.10
_cell_angle_gamma 90.00
loop_
_space_group_symop_operation_xyz
'x,y,z'
'-x,-y,-z'
'-x,y,-z'
'x,-y,z'
'x+1/2,y+1/2,z'
'-x+1/2,-y+1/2,-z'
'-x+1/2,y+1/2,-z'
'x+1/2,-y+1/2,z'
loop_
_atom_site_label
_atom_site_type_symbol
_atom_site_fract_x
_atom_site_fract_y
_atom_site_fract_z
K1 K 0.000 0.000 0.000
K2 K 0.000 0.500 0.000
K3 K 0.250 0.250 0.000
Sm1 Sm 0.000 0.000 0.500
Sm2 Sm 0.250 0.250 0.500
Mn1 Mn 0.000 0.500 0.500
S1 S 0.013 0.280 0.314
S2 S 0.233 0.000 0.708
S3 S 0.249 0.500 0.719
# E_form (uncorrected): -1553 meV per atom

---

# Y5Tm12Pu PBE-GGA optimized geometry
data_Y5Tm12Pu
_space_group_name_H-M_alt 'C 1 2/m 1'
_space_group_IT_number 12
_cell_length_a 6.129
_cell_length_b 10.615
_cell_length_c 17.000
_cell_angle_alpha 90.00
_cell_angle_beta 96.90
_cell_angle_gamma 90.00
loop_
_space_group_symop_operation_xyz
'x,y,z'
'-x,-y,-z'
'-x,y,-z'
'x,-y,z'
'x+1/2,y+1/2,z'
'-x+1/2,-y+1/2,-z'
'-x+1/2,y+1/2,-z'
'x+1/2,-y+1/2,z'
loop_
_atom_site_label
_atom_site_type_symbol
_atom_site_fract_x
_atom_site_fract_y
_atom_site_fract_z
Y1 Y 0.000 0.000 0.000
Y2 Y 0.000 0.167 0.500
Y3 Y 0.000 0.333 0.000
Tm1 Tm 0.109 0.336 0.334
Tm2 Tm 0.110 0.167 0.831
Tm3 Tm 0.110 0.500 0.831
Tm4 Tm 0.116 0.000 0.334
Pu1 Pu 0.000 0.500 0.500
# Density of states at the Fermi level: 60.572 states/eV per cell
# Energy of formation: 16 meV/atom

---

# Ce2ErAs PBE-GGA optimized geometry
data_Ce2ErAs
_space_group_name_H-M_alt 'F m -3 m'
_space_group_IT_number 225
_space_group_name_Hall '-F 4 2 3'
_cell_length_a 7.426
_cell_length_b 7.426
_cell_length_c 7.426
_cell_angle_alpha 90.00
_cell_angle_beta 90.00
_cell_angle_gamma 90.00
loop_
_atom_site_label
_atom_site_type_symbol
_atom_site_fract_x
_atom_site_fract_y
_atom_site_fract_z
Ce1 Ce 0.250 0.250 0.250
Er1 Er 0.000 0.000 0.000
As1 As 0.000 0.000 0.500
# Density of states at the Fermi level: 42.221 states/eV per cell
# Energy of formation: -192 meV/atom

---

# LiV2Ag PBE-GGA optimized geometry
data_LiV2Ag
_space_group_name_H-M_alt 'F m -3 m'
_space_group_IT_number 225
_space_group_name_Hall '-F 4 2 3'
_cell_length_a 6.331
_cell_length_b 6.331
_cell_length_c 6.331
_cell_angle_alpha 90.00
_cell_angle_beta 90.00
_cell_angle_gamma 90.00
loop_
_atom_site_label
_atom_site_type_symbol
_atom_site_fract_x
_atom_site_fract_y
_atom_site_fract_z
Li1 Li 0.000 0.000 0.000
V1 V 0.250 0.250 0.250
Ag1 Ag 0.000 0.000 0.500
# Density of states at the Fermi level: 22.783 states/eV per cell
# Energy of formation: 692 meV/atom

---

For reference, total magnetization by record: 0.0 0.0 0.0 0.0 8.0 11.5 1.4 20.5 μB per cell.
For reference, ρ by record: 6.6 8.6 5.0 10.8 3.6 8.2 8.5 5.7 Mg/m³.